[1]
# BaY2Mn PBE relaxed
data_BaY2Mn
_cell_length_a 7.077
_cell_length_b 9.365
_cell_length_c 3.758
_cell_angle_alpha 90.00
_cell_angle_beta 90.00
_cell_angle_gamma 90.00
_space_group_name_H-M_alt 'C m m m'
_space_group_IT_number 65
_space_group_name_Hall '-C 2 2'
loop_
_atom_site_label
_atom_site_type_symbol
_atom_site_fract_x
_atom_site_fract_y
_atom_site_fract_z
Ba1 Ba 0.000 0.000 0.000
Y1 Y 0.250 0.250 0.500
Mn1 Mn 0.000 0.500 0.000
# ΔH_f (0 K): 0.549 eV per atom
# polymorph energy (0 for the lowest one): 0.339 eV/atom

---

[2]
# PuF6 PBE relaxed
data_PuF6
_cell_length_a 10.106
_cell_length_b 9.241
_cell_length_c 5.376
_cell_angle_alpha 90.00
_cell_angle_beta 90.00
_cell_angle_gamma 90.00
_space_group_name_H-M_alt 'P n m a'
_space_group_IT_number 62
_space_group_name_Hall '-P 2ac 2n'
loop_
_atom_site_label
_atom_site_type_symbol
_atom_site_fract_x
_atom_site_fract_y
_atom_site_fract_z
Pu1 Pu 0.130 0.250 0.079
F1 F 0.015 0.250 0.775
F2 F 0.016 0.097 0.232
F3 F 0.244 0.097 0.926
F4 F 0.245 0.250 0.383
# formation energy (no corrections): -2.850 eV/atom

---

[3]
# KAgAsCl6 PBE relaxed
data_KAgAsCl6
_cell_length_a 6.7532
_cell_length_b 6.7532
_cell_length_c 6.8660
_cell_angle_alpha 90.00
_cell_angle_beta 90.00
_cell_angle_gamma 120.00
_space_group_name_H-M_alt 'P 3 1 2'
_space_group_IT_number 149
_space_group_name_Hall 'P 3 2'
loop_
_atom_site_label
_atom_site_type_symbol
_atom_site_fract_x
_atom_site_fract_y
_atom_site_fract_z
K1 K 0.0000 0.0000 0.0000
Ag1 Ag 0.6667 0.3333 0.5000
As1 As 0.3333 0.6667 0.5000
Cl1 Cl 0.0118 0.3821 0.2857
# formation energy (no corrections): -0.814 eV/atom

---

[4]
# Tb3GdRu PBE relaxed
data_Tb3GdRu
_cell_length_a 5.408
_cell_length_b 5.408
_cell_length_c 5.408
_cell_angle_alpha 90.00
_cell_angle_beta 90.00
_cell_angle_gamma 90.00
_space_group_name_H-M_alt 'P m -3 m'
_space_group_IT_number 221
_space_group_name_Hall '-P 4 2 3'
loop_
_atom_site_label
_atom_site_type_symbol
_atom_site_fract_x
_atom_site_fract_y
_atom_site_fract_z
Tb1 Tb 0.000 0.000 0.500
Gd1 Gd 0.500 0.500 0.500
Ru1 Ru 0.000 0.000 0.000
# ΔH_f (0 K): -0.066 eV per atom

---

[5]
# SrCdP PBE relaxed
data_SrCdP
_cell_length_a 3.753
_cell_length_b 3.753
_cell_length_c 10.853
_cell_angle_alpha 90.00
_cell_angle_beta 90.00
_cell_angle_gamma 90.00
_space_group_name_H-M_alt 'I 4 m m'
_space_group_IT_number 107
_space_group_name_Hall 'I 4 -2'
loop_
_atom_site_label
_atom_site_type_symbol
_atom_site_fract_x
_atom_site_fract_y
_atom_site_fract_z
Sr1 Sr 0.000 0.000 0.000
Cd1 Cd 0.000 0.000 0.295
P1 P 0.000 0.000 0.682
# ΔH_f (0 K): -0.277 eV per atom
# polymorph energy (0 for the lowest one): 0.299 eV/atom

---

[6]
# Sm5Y6Mg2 PBE relaxed
data_Sm5Y6Mg2
_cell_length_a 10.458
_cell_length_b 22.632
_cell_length_c 3.578
_cell_angle_alpha 90.00
_cell_angle_beta 90.00
_cell_angle_gamma 90.00
_space_group_name_H-M_alt 'P b a m'
_space_group_IT_number 55
_space_group_name_Hall '-P 2 2ab'
loop_
_atom_site_label
_atom_site_type_symbol
_atom_site_fract_x
_atom_site_fract_y
_atom_site_fract_z
Sm1 Sm 0.000 0.000 0.000
Sm2 Sm 0.080 0.251 0.000
Sm3 Sm 0.167 0.505 0.000
Y1 Y 0.017 0.387 0.500
Y2 Y 0.147 0.118 0.500
Y3 Y 0.168 0.865 0.000
Mg1 Mg 0.170 0.739 0.500
# ΔH_f (0 K): 0.124 eV per atom

---

Respective total DFT energy (no corrections) values: -43.6, -182.1, -27.0, -37.6, -17.7, -127.9 eV/cell.
Respective M_tot values: 6.959, 8.000, 1.153, 7.943, 0.000, 0.000 μB per cell.